# 1
Be2SiSe: relaxed, PBE.

Results
Space group: No. 6
Energy relative to the lowest polymorph listed for this composition in meV/atom: 0.0

Unit cell a=3.285 b=3.286 c=6.942 alpha=89.43 beta=90.00 gamma=90.00
Fractional positions:
Be: 0.000 0.875 0.137
Be: 0.500 0.375 0.137
Si: 0.500 0.880 0.880
Se: 0.000 0.370 0.346

---

# 2
Be2SiSe: relaxed, PBE.

Results
Space group: No. 44
Energy relative to the lowest polymorph listed for this composition in meV/atom: 271.7

Unit cell a=5.552 b=5.552 c=5.552 alpha=146.26 beta=143.25 gamma=50.74
Fractional positions:
Be: 0.924 0.924 0.000
Be: 0.735 0.235 0.500
Si: 0.282 0.782 0.500
Se: 0.559 0.559 0.000

---

# 3
BeSiSe3: relaxed, PBE.

Results
Space group: No. 221
Energy relative to the lowest polymorph listed for this composition in meV/atom: 1198.4

Unit cell a=4.799 b=4.799 c=4.799 alpha=90.00 beta=90.00 gamma=90.00
Fractional positions:
Be: 0.500 0.500 0.500
Si: 0.000 0.000 0.000
Se: 0.000 0.500 0.000
Se: 0.000 0.000 0.500
Se: 0.500 0.000 0.000

---

Per-record formation energy without anion corrections, meV per atom: 106; 378; 706
Per-record size of the total moment, Bohr magnetons per cell: 0.000; 0.000; 0.000
Per-record D(E_F), states/eV/cell: 0.5; 1.3; 3.7